w:
The following is a meta-GGA SCAN calculation of Ag2OsCl at its PBEsol-relaxed geometry, from Alexandria via LeMat-Bulk.

Properties
Calculated volume   17.7 Å³ per atom
Crystal system   orthorhombic

Cell lengths 6.756, 6.756, 6.756 Å; angles 156.51, 144.79, 42.76 degrees
Fractional positions:
1 Ag 0.194 0.194 0.000
2 Ag 0.806 0.806 0.000
3 Os 0.000 0.500 0.500
4 Cl 0.500 0.000 0.500

=====

x:
The following is a meta-GGA SCAN calculation of Ag2OsCl at its PBEsol-relaxed geometry, from Alexandria via LeMat-Bulk.

Properties
Calculated volume   16.5 Å³ per atom
Crystal system   tetragonal

Cell lengths 2.844, 2.844, 8.159 Å; angles 90.00, 90.00, 90.00 degrees
Fractional positions:
1 Ag 0.000 0.000 0.000
2 Ag 0.500 0.500 0.247
3 Os 0.500 0.500 0.755
4 Cl 0.000 0.000 0.564

=====

y:
The following is a meta-GGA SCAN calculation of Ag2OsCl at its PBEsol-relaxed geometry, from Alexandria via LeMat-Bulk.

Properties
Calculated volume   16.3 Å³ per atom
Crystal system   orthorhombic

Cell lengths 2.876, 2.876, 9.268 Å; angles 90.00, 90.00, 121.73 degrees
Fractional positions:
1 Ag 0.000 0.000 0.000
2 Ag 0.500 0.500 0.258
3 Os 0.500 0.500 0.746
4 Cl 0.000 0.000 0.539

=====

Each structure's energy above the most stable one, in kJ/mol of atoms: w 24.3; x 17.9; y 0.0.

=====

w:
The following is a meta-GGA SCAN calculation of AgOs2Cl at its PBEsol-relaxed geometry, from Alexandria via LeMat-Bulk.

Properties
Calculated volume   15.2 Å³ per atom
Crystal system   cubic

Cell lengths 4.411, 4.411, 4.411 Å; angles 60.00, 60.00, 60.00 degrees
Fractional positions:
1 Ag 0.000 0.000 0.000
2 Os 0.250 0.250 0.250
3 Os 0.500 0.500 0.500
4 Cl 0.750 0.750 0.750

=====

x:
The following is a meta-GGA SCAN calculation of AgOs2Cl at its PBEsol-relaxed geometry, from Alexandria via LeMat-Bulk.

Properties
Calculated volume   14.7 Å³ per atom
Crystal system   tetragonal

Cell lengths 4.486, 4.486, 2.931 Å; angles 90.00, 90.00, 90.00 degrees
Fractional positions:
1 Ag 0.000 0.000 0.000
2 Os 0.000 0.500 0.500
3 Os 0.500 0.000 0.500
4 Cl 0.500 0.500 0.000

=====

Each structure's energy above the most stable one, in kJ/mol of atoms: w 0.0; x 48.6.

=====

w:
The following is a meta-GGA SCAN calculation of AgPCl2 at its PBEsol-relaxed geometry, from Alexandria via LeMat-Bulk.

Properties
Calculated volume   18.0 Å³ per atom
Crystal system   cubic

Cell lengths 4.670, 4.670, 4.670 Å; angles 60.00, 60.00, 60.00 degrees
Fractional positions:
1 Ag 0.000 0.000 0.000
2 P 0.500 0.500 0.500
3 Cl 0.250 0.250 0.250
4 Cl 0.750 0.750 0.750

=====

x:
The following is a meta-GGA SCAN calculation of AgPCl2 at its PBEsol-relaxed geometry, from Alexandria via LeMat-Bulk.

Properties
Calculated volume   20.7 Å³ per atom
Crystal system   orthorhombic

Cell lengths 7.258, 7.258, 7.258 Å; angles 154.90, 149.21, 40.12 degrees
Fractional positions:
1 Ag 0.000 0.000 0.000
2 P 0.857 0.357 0.500
3 Cl 0.306 0.806 0.500
4 Cl 0.585 0.585 0.000

=====

Each structure's energy above the most stable one, in kJ/mol of atoms: w 39.8; x 0.0.

=====

w:
The following is a meta-GGA SCAN calculation of AgPSCl2 at its PBEsol-relaxed geometry, from Alexandria via LeMat-Bulk.

Properties
Calculated volume   22.8 Å³ per atom
Crystal system   tetragonal

Cell lengths 5.236, 5.236, 4.153 Å; angles 90.00, 90.00, 90.00 degrees
Fractional positions:
1 Ag 0.000 0.000 0.000
2 P 0.500 0.500 0.000
3 S 0.500 0.500 0.500
4 Cl 0.000 0.500 0.500
5 Cl 0.500 0.000 0.500

=====

x:
The following is a meta-GGA SCAN calculation of AgPSCl2 at its PBEsol-relaxed geometry, from Alexandria via LeMat-Bulk.

Properties
Calculated volume   22.4 Å³ per atom
Crystal system   tetragonal

Cell lengths 4.710, 4.710, 5.041 Å; angles 90.00, 90.00, 90.00 degrees
Fractional positions:
1 Ag 0.000 0.000 0.000
2 P 0.000 0.000 0.500
3 S 0.500 0.500 0.500
4 Cl 0.000 0.500 0.000
5 Cl 0.500 0.000 0.000

=====

Each structure's energy above the most stable one, in kJ/mol of atoms: w 0.0; x 8.4.

=====

w:
The following is a meta-GGA SCAN calculation of AgPbCl at its PBEsol-relaxed geometry, from Alexandria via LeMat-Bulk.

Properties
Calculated volume   22.3 Å³ per atom
Crystal system   trigonal

Cell lengths 4.824, 4.824, 3.325 Å; angles 90.00, 90.00, 120.00 degrees
Fractional positions:
1 Ag 0.000 0.000 0.000
2 Pb 0.667 0.333 0.495
3 Cl 0.333 0.667 0.991

=====

x:
The following is a meta-GGA SCAN calculation of AgPbCl at its PBEsol-relaxed geometry, from Alexandria via LeMat-Bulk.

Properties
Calculated volume   22.4 Å³ per atom
Crystal system   tetragonal

Cell lengths 6.273, 6.273, 6.273 Å; angles 148.51, 148.51, 45.14 degrees
Fractional positions:
1 Ag 0.000 0.000 0.000
2 Pb 0.338 0.338 0.000
3 Cl 0.633 0.633 0.000

=====

Each structure's energy above the most stable one, in kJ/mol of atoms: w 18.3; x 0.0.

=====

w:
The following is a meta-GGA SCAN calculation of Ag2PbCl at its PBEsol-relaxed geometry, from Alexandria via LeMat-Bulk.

Properties
Calculated volume   20.6 Å³ per atom
Crystal system   orthorhombic

Cell lengths 3.302, 3.302, 7.608 Å; angles 90.00, 90.00, 96.23 degrees
Fractional positions:
1 Ag 0.000 0.000 0.232
2 Ag 0.000 0.000 0.768
3 Pb 0.500 0.500 0.500
4 Cl 0.500 0.500 0.000

=====

x:
The following is a meta-GGA SCAN calculation of Ag2PbCl at its PBEsol-relaxed geometry, from Alexandria via LeMat-Bulk.

Properties
Calculated volume   21.6 Å³ per atom
Crystal system   cubic

Cell lengths 4.962, 4.962, 4.962 Å; angles 60.00, 60.00, 60.00 degrees
Fractional positions:
1 Ag 0.000 0.000 0.000
2 Ag 0.250 0.250 0.250
3 Pb 0.500 0.500 0.500
4 Cl 0.750 0.750 0.750

=====

Each structure's energy above the most stable one, in kJ/mol of atoms: w 0.0; x 18.3.

=====

w:
The following is a meta-GGA SCAN calculation of AgPt2Cl at its PBEsol-relaxed geometry, from Alexandria via LeMat-Bulk.

Properties
Calculated volume   15.9 Å³ per atom
Crystal system   orthorhombic

Cell lengths 4.937, 4.937, 2.789 Å; angles 90.00, 90.00, 110.49 degrees
Fractional positions:
1 Ag 0.000 0.000 0.000
2 Pt 0.000 0.500 0.500
3 Pt 0.500 0.000 0.500
4 Cl 0.500 0.500 0.000

=====

x:
The following is a meta-GGA SCAN calculation of AgPt2Cl at its PBEsol-relaxed geometry, from Alexandria via LeMat-Bulk.

Properties
Calculated volume   15.8 Å³ per atom
Crystal system   tetragonal

Cell lengths 2.811, 2.811, 8.000 Å; angles 90.00, 90.00, 90.00 degrees
Fractional positions:
1 Ag 0.000 0.000 0.000
2 Pt 0.500 0.500 0.251
3 Pt 0.500 0.500 0.749
4 Cl 0.000 0.000 0.500

=====

Each structure's energy above the most stable one, in kJ/mol of atoms: w 8.9; x 0.0.

=====

w:
The following is a meta-GGA SCAN calculation of AgPt2Cl at its PBEsol-relaxed geometry, from Alexandria via LeMat-Bulk.

Properties
Calculated volume   15.6 Å³ per atom
Crystal system   trigonal

Cell lengths 8.871, 8.871, 8.871 Å; angles 18.68, 18.68, 18.68 degrees
Fractional positions:
1 Ag 0.000 0.000 0.000
2 Pt 0.247 0.247 0.247
3 Pt 0.753 0.753 0.753
4 Cl 0.500 0.500 0.500

=====

x:
The following is a meta-GGA SCAN calculation of AgPt2Cl at its PBEsol-relaxed geometry, from Alexandria via LeMat-Bulk.

Properties
Calculated volume   16.0 Å³ per atom
Crystal system   tetragonal

Cell lengths 4.749, 4.749, 2.832 Å; angles 90.00, 90.00, 90.00 degrees
Fractional positions:
1 Ag 0.000 0.000 0.000
2 Pt 0.000 0.500 0.500
3 Pt 0.500 0.000 0.500
4 Cl 0.500 0.500 0.000

=====

Each structure's energy above the most stable one, in kJ/mol of atoms: w 0.0; x 25.0.